An optimized crystal structure of AcLa3Pb2. Source: Alexandria via LeMat-Bulk, functional GGA-PBE.

Lattice parameters (Å, degrees): 3.7773 4.6679 12.0428 90.00 90.00 90.00
Last column: nearest neighbours and their distance in Å.
Atoms (fractional coordinates):
Ac 0.0000 0.0000 0.0000  3 La 3.52-3.84, 4 Pb 3.62, 2 Ac 3.78
La 0.0000 0.0000 0.2919  2 La 3.19, 4 Pb 3.35, 1 Ac 3.52
La 0.0000 0.5000 0.4724  3 La 3.19-3.30, 4 Pb 3.38
La 0.0000 0.5000 0.7466  1 La 3.30, 4 Pb 3.47
Pb 0.5000 0.0000 0.6019  8 La 3.38-3.47, 2 Pb 3.78
Pb 0.5000 0.5000 0.1681  4 La 3.35, 4 Ac 3.62

Summary:
The calculation puts the energy relative to the lowest polymorph listed for this composition at 196 meV per atom. The calculation puts the total energy at -4.60 eV per atom. As for the density of states at the Fermi level: 6.05 states/eV per cell. The magnetic moment is 0.0 Bohr magnetons per cell.